Rb2Ho2PuS6 PBE optimized geometry; uncorrected formation energy = -1.74 eV/atom
1.0
3.473 -6.009 0.000
3.473 6.009 0.000
-2.350 0.000 7.866
Rb Ho Pu S
2 2 1 6
direct
0.169 0.831 0.000 Rb
0.831 0.169 0.000 Rb
0.334 0.666 0.500 Ho
0.666 0.334 0.500 Ho
0.000 0.000 0.500 Pu
0.061 0.391 0.685 S
0.264 0.264 0.315 S
0.391 0.061 0.685 S
0.609 0.939 0.315 S
0.736 0.736 0.685 S
0.939 0.609 0.315 S


RbAcSe PBE optimized geometry; ΔE to the lowest computed polymorph = 103.4 meV per atom; uncorrected formation energy = -0.84 eV/atom
1.0
5.653 -5.781 0.000
5.653 5.781 0.000
0.000 0.000 8.271
Rb Ac Se
4 4 4
direct
0.212 0.212 0.000 Rb
0.288 0.288 0.500 Rb
0.712 0.712 0.500 Rb
0.788 0.788 0.000 Rb
0.197 0.803 0.630 Ac
0.303 0.697 0.130 Ac
0.697 0.303 0.870 Ac
0.803 0.197 0.370 Ac
0.067 0.933 0.292 Se
0.433 0.567 0.792 Se
0.567 0.433 0.208 Se
0.933 0.067 0.708 Se


CeY2Ag6 PBE optimized geometry; ΔH_f (0 K) = -0.218 eV/atom
1.0
8.320 0.000 0.000
-4.160 7.205 0.000
0.000 0.000 3.400
Ce Y Ag
1 2 6
direct
0.000 0.000 0.000 Ce
0.333 0.667 0.000 Y
0.667 0.333 0.000 Y
0.000 0.335 0.500 Ag
0.000 0.665 0.500 Ag
0.335 0.000 0.500 Ag
0.335 0.335 0.500 Ag
0.665 0.000 0.500 Ag
0.665 0.665 0.500 Ag